Entry 1:
Here is an optimized crystal structure of BaCrI2 from the Alexandria database. Energies are from PBEsol.

Properties
space-group type = Fm-3m, No. 225
E_form (uncorrected) = -0.4190 eV per atom

a = 5.7759 Å, b = 5.7759 Å, c = 5.7759 Å
α = 60.00°, β = 60.00°, γ = 60.00°
Element x y z (fractional)
Ba 0.0000 0.0000 0.0000
Cr 0.5000 0.5000 0.5000
I 0.2500 0.2500 0.2500
I 0.7500 0.7500 0.7500

---

Entry 2:
Here is an optimized crystal structure of TePPtCl2 from the Alexandria database. Energies are from PBEsol.

Properties
space-group type = P4/mmm, No. 123
E_form (uncorrected) = 0.2363 eV per atom

a = 4.7185 Å, b = 4.7185 Å, c = 4.7584 Å
α = 90.00°, β = 90.00°, γ = 90.00°
Element x y z (fractional)
Te 0.0000 0.0000 0.0000
P 0.5000 0.5000 0.0000
Pt 0.5000 0.5000 0.5000
Cl 0.0000 0.5000 0.5000
Cl 0.5000 0.0000 0.5000

---

Entry 3:
Here is an optimized crystal structure of Ir2AuSe from the Alexandria database. Energies are from PBEsol.

Properties
space-group type = Imm2, No. 44
E_form (uncorrected) = 0.4585 eV per atom

a = 5.5816 Å, b = 5.5816 Å, c = 5.5816 Å
α = 150.98°, β = 130.49°, γ = 58.42°
Element x y z (fractional)
Ir 0.0000 0.0000 0.0000
Ir 0.7684 0.2684 0.5000
Au 0.5046 0.5046 0.0000
Se 0.2205 0.7205 0.5000

---

Entry 4:
Here is an optimized crystal structure of RbPPd2 from the Alexandria database. Energies are from PBEsol.

Properties
space-group type = I4_1/amd, No. 141
ΔE_f = -0.261 eV per atom

a = 8.2071 Å, b = 8.2071 Å, c = 8.2071 Å
α = 141.64°, β = 141.64°, γ = 55.38°
Element x y z (fractional)
Rb 0.3750 0.6250 0.7500
Rb 0.6250 0.3750 0.2500
P 0.1250 0.8750 0.2500
P 0.8750 0.1250 0.7500
Pd 0.0000 0.0000 0.0000
Pd 0.0000 0.0000 0.5000
Pd 0.0000 0.5000 0.0000
Pd 0.5000 0.0000 0.5000

---

Looking at E for the records above, in order, we have -4.400, -3.823, -6.397, -4.945 eV/atom.
Looking at spin magnetization for the records above, in order, we have 6.00, 0.00, 0.00, 0.00 μB/f.u..
Looking at calculated volume for the records above, in order, we have 34.063, 21.188, 15.925, 26.422 Å³/atom.